The following is a DFT calculation (GGA-PBE) of a geometry-optimized AsRuCl2 structure.

```
AsRuCl2
1.0
-1.7857 0.0924 -4.2417
2.1410 -2.1744 -3.4464
-1.8358 -3.8145 -1.8080
Cl As Ru
2 1 1
Cartesian
0.0000 0.0000 0.0000
-0.3701 -1.4741 -2.3740
-0.7403 -2.9483 -4.7481
-1.1104 -4.4224 -7.1221
```

Summary:
V = 69.0 Å³/cell
Space group = F-43m
Distance to the lowest polymorph of the same formula = 928 meV per atom